# 1
Entry from Alexandria via LeMat-Bulk: an optimized crystal structure of BaTcHg (PBE). Values from VASP.

Output
The calculation puts the energy above the most stable polymorph in this dataset at 0 meV per atom. The formation energy from the elements comes out at 575.4 meV/atom.

Geometry as Quantum ESPRESSO input:
```
&SYSTEM
  ibrav = 0, nat = 3, ntyp = 3
/
ATOMIC_SPECIES
Ba 137.33 Ba.upf
Hg 200.59 Hg.upf
Tc 98.00 Tc.upf
CELL_PARAMETERS angstrom
4.739 0.000 0.000
-2.369 4.104 0.000
0.000 0.000 4.758
ATOMIC_POSITIONS angstrom
Ba 0.000 0.000 0.000
Hg 2.369 1.368 2.379
Tc 0.000 2.736 2.379
```

=====

# 2
Entry from Alexandria via LeMat-Bulk: an optimized crystal structure of TbSmHg3 (PBE). Values from VASP.

Output
The calculation puts the energy above the most stable polymorph in this dataset at 0 meV per atom. The formation energy from the elements comes out at -413.0 meV/atom.

Geometry as Quantum ESPRESSO input:
```
&SYSTEM
  ibrav = 0, nat = 10, ntyp = 3
/
ATOMIC_SPECIES
Tb 158.93 Tb.upf
Sm 150.36 Sm.upf
Hg 200.59 Hg.upf
CELL_PARAMETERS angstrom
-2.103 -1.684 2.370
2.959 -3.971 -0.195
9.058 6.269 9.777
ATOMIC_POSITIONS angstrom
Tb 5.596 -0.689 4.477
Tb 4.318 1.304 7.475
Sm 7.960 0.784 10.338
Sm 1.954 -0.169 1.614
Hg 3.121 -2.496 3.713
Hg 6.793 3.111 8.239
Hg 1.551 -3.560 1.563
Hg 8.363 4.175 10.388
Hg 2.589 0.132 5.107
Hg 7.325 0.483 6.844
```

=====

# 3
Entry from Alexandria via LeMat-Bulk: an optimized crystal structure of Er2GaSi2Pd5 (PBE). Values from VASP.

Output
The value obtained for the formation energy from raw total energies is -0.75 eV per atom.

Geometry as Quantum ESPRESSO input:
```
&SYSTEM
  ibrav = 0, nat = 20, ntyp = 4
/
ATOMIC_SPECIES
Er 167.26 Er.upf
Ga 69.72 Ga.upf
Si 28.09 Si.upf
Pd 106.42 Pd.upf
CELL_PARAMETERS angstrom
-3.058 0.652 -1.297
-1.719 -9.892 -0.920
-3.967 -0.173 9.268
ATOMIC_POSITIONS angstrom
Er -1.867 -6.730 1.019
Er -3.819 -3.335 7.328
Er -1.585 -1.809 2.828
Er -4.101 -8.256 5.519
Ga 0.000 0.000 0.000
Ga -2.843 -5.032 4.174
Si -2.695 -1.346 5.678
Si -2.991 -8.719 2.669
Si -4.545 -6.335 7.533
Si -1.141 -3.730 0.814
Pd -2.088 -1.704 -0.349
Pd -6.655 -7.709 7.400
Pd -4.776 -0.331 6.678
Pd -4.515 -6.718 2.850
Pd -3.968 -9.082 0.373
Pd -4.229 -2.695 4.200
Pd -5.273 -5.262 5.370
Pd -3.471 -4.151 1.681
Pd -2.388 -4.620 -1.109
Pd -3.512 0.240 3.985
```

=====

# 4
Entry from Alexandria via LeMat-Bulk: an optimized crystal structure of AcZr2Fe (PBE). Values from VASP.

Output
The formation energy from the elements comes out at 383.2 meV/atom.

Geometry as Quantum ESPRESSO input:
```
&SYSTEM
  ibrav = 0, nat = 4, ntyp = 3
/
ATOMIC_SPECIES
Ac 227.00 Ac.upf
Fe 55.84 Fe.upf
Zr 91.22 Zr.upf
CELL_PARAMETERS angstrom
-2.274 -0.501 -2.579
-2.773 -2.032 0.500
-6.905 7.040 2.383
ATOMIC_POSITIONS angstrom
Ac 0.000 0.000 0.000
Fe -5.977 2.254 0.152
Zr -5.114 4.335 1.328
Zr -6.840 0.172 -1.023
```

=====

# 5
Entry from Alexandria via LeMat-Bulk: an optimized crystal structure of VSb (PBE). Values from VASP.

Output
The value obtained for the formation energy from raw total energies is 0.69 eV per atom.

Geometry as Quantum ESPRESSO input:
```
&SYSTEM
  ibrav = 0, nat = 12, ntyp = 2
/
ATOMIC_SPECIES
V 50.94 V.upf
Sb 121.76 Sb.upf
CELL_PARAMETERS angstrom
-6.280 0.390 4.189
-3.407 -4.886 -4.653
2.468 -5.754 4.235
ATOMIC_POSITIONS angstrom
V -3.274 -2.346 -1.279
V -6.413 -2.150 0.815
V -2.523 -1.243 3.153
V -1.289 -4.120 5.271
V 0.382 -4.098 0.954
V -1.322 -6.541 -1.372
Sb -0.336 -2.779 3.165
Sb -3.476 -2.584 5.259
Sb -1.087 -3.881 -1.268
Sb 0.147 -6.758 0.850
Sb -3.992 -1.026 0.931
Sb -5.695 -3.470 -1.395
```

=====

# 6
Entry from Alexandria via LeMat-Bulk: an optimized crystal structure of SbRhN2 (PBE). Values from VASP.

Output
The value obtained for the formation energy from raw total energies is 0.63 eV per atom.

Geometry as Quantum ESPRESSO input:
```
&SYSTEM
  ibrav = 0, nat = 4, ntyp = 3
/
ATOMIC_SPECIES
Sb 121.76 Sb.upf
Rh 102.91 Rh.upf
N 14.01 N.upf
CELL_PARAMETERS angstrom
1.822 0.000 6.296
-0.911 1.578 6.296
-0.911 -1.578 6.296
ATOMIC_POSITIONS angstrom
Sb 0.000 0.000 9.444
Rh 0.000 0.000 0.000
N 0.000 0.000 16.878
N 0.000 0.000 2.011
```

=====

# 7
Entry from Alexandria via LeMat-Bulk: an optimized crystal structure of Tb8Nd3Y (PBE). Values from VASP.

Output
The formation energy from the elements comes out at 15.8 meV/atom.

Geometry as Quantum ESPRESSO input:
```
&SYSTEM
  ibrav = 0, nat = 12, ntyp = 3
/
ATOMIC_SPECIES
Tb 158.93 Tb.upf
Nd 144.24 Nd.upf
Y 88.91 Y.upf
CELL_PARAMETERS angstrom
-4.833 6.232 -1.500
-4.478 -4.853 2.834
2.559 1.497 6.546
ATOMIC_POSITIONS angstrom
Tb -0.879 0.890 0.144
Tb -4.100 0.179 7.466
Tb -6.679 2.072 2.120
Tb -3.152 5.255 3.981
Tb -3.139 1.865 2.761
Tb -4.428 4.499 0.697
Tb -3.113 -1.537 1.557
Tb 0.402 1.636 3.411
Nd -5.382 -0.578 4.180
Nd -1.847 2.612 6.045
Nd -1.845 -0.776 4.826
Y -5.391 2.816 5.401
```

=====

# 8
Entry from Alexandria via LeMat-Bulk: an optimized crystal structure of Mg2CuW (PBE). Values from VASP.

Output
The calculation puts the energy above the most stable polymorph in this dataset at 311 meV per atom. The formation energy from the elements comes out at 535.2 meV/atom.

Geometry as Quantum ESPRESSO input:
```
&SYSTEM
  ibrav = 0, nat = 4, ntyp = 3
/
ATOMIC_SPECIES
Cu 63.55 Cu.upf
Mg 24.30 Mg.upf
W 183.84 W.upf
CELL_PARAMETERS angstrom
4.823 0.000 0.000
0.000 4.823 0.000
0.000 0.000 2.884
ATOMIC_POSITIONS angstrom
Cu 0.000 2.411 1.442
Mg 0.000 0.000 0.000
Mg 2.411 2.411 0.000
W 2.411 0.000 1.442
```

=====

# 9
Entry from Alexandria via LeMat-Bulk: an optimized crystal structure of SrLiZn2Ag (PBE). Values from VASP.

Output
The calculation puts the energy above the most stable polymorph in this dataset at 162 meV per atom. The formation energy from the elements comes out at -45.0 meV/atom.

Geometry as Quantum ESPRESSO input:
```
&SYSTEM
  ibrav = 0, nat = 5, ntyp = 4
/
ATOMIC_SPECIES
Sr 87.62 Sr.upf
Zn 65.41 Zn.upf
Ag 107.87 Ag.upf
Li 6.94 Li.upf
CELL_PARAMETERS angstrom
-4.485 2.076 0.817
-1.025 -3.546 3.387
1.942 2.807 3.526
ATOMIC_POSITIONS angstrom
Sr -1.784 0.669 3.865
Zn -0.512 -1.773 1.694
Zn -2.243 1.038 0.408
Ag 0.000 0.000 0.000
Li 0.971 1.404 1.763
```

=====

# 10
Entry from Alexandria via LeMat-Bulk: an optimized crystal structure of NaSnGeTe3 (PBE). Values from VASP.

Output
The value obtained for the formation energy from raw total energies is -0.30 eV per atom.

Geometry as Quantum ESPRESSO input:
```
&SYSTEM
  ibrav = 0, nat = 12, ntyp = 4
/
ATOMIC_SPECIES
Na 22.99 Na.upf
Sn 118.71 Sn.upf
Ge 72.64 Ge.upf
Te 127.60 Te.upf
CELL_PARAMETERS angstrom
-0.087 -4.235 2.373
1.857 -4.191 -7.412
9.411 2.087 4.069
ATOMIC_POSITIONS angstrom
Na 2.059 -1.581 -0.262
Na 9.122 -4.759 -0.708
Sn 2.303 -3.632 -3.914
Sn 8.878 -2.708 2.945
Ge 5.909 -0.168 2.400
Ge 5.272 -6.171 -3.369
Te 3.077 -6.857 -4.673
Te 8.104 0.517 3.704
Te 5.673 -3.443 -3.452
Te 5.508 -2.897 2.483
Te 2.478 -4.754 -0.943
Te 8.703 -1.585 -0.026
```

=====

# 11
Entry from Alexandria via LeMat-Bulk: an optimized crystal structure of Mn4W (PBE). Values from VASP.

Output
The formation energy from the elements comes out at 1492.6 meV/atom.

Geometry as Quantum ESPRESSO input:
```
&SYSTEM
  ibrav = 0, nat = 5, ntyp = 2
/
ATOMIC_SPECIES
Mn 54.94 Mn.upf
W 183.84 W.upf
CELL_PARAMETERS angstrom
-3.318 -2.392 2.058
1.004 -3.631 -2.603
2.992 -1.435 3.156
ATOMIC_POSITIONS angstrom
Mn 0.000 0.000 0.000
Mn -0.163 -1.914 2.607
Mn 1.998 -2.533 0.276
Mn -1.157 -3.012 -0.273
W 0.339 -3.730 1.305
```

=====

# 12
Entry from Alexandria via LeMat-Bulk: an optimized crystal structure of Sr5Zn5Ni2 (PBE). Values from VASP.

Output
The formation energy from the elements comes out at -168.9 meV/atom.

Geometry as Quantum ESPRESSO input:
```
&SYSTEM
  ibrav = 0, nat = 12, ntyp = 3
/
ATOMIC_SPECIES
Sr 87.62 Sr.upf
Zn 65.41 Zn.upf
Ni 58.69 Ni.upf
CELL_PARAMETERS angstrom
-3.541 -1.966 -1.257
2.724 -6.284 -4.995
-0.951 -7.044 6.540
ATOMIC_POSITIONS angstrom
Sr 0.887 -6.664 0.773
Sr -1.451 -12.198 1.705
Sr 0.845 -8.764 -2.979
Sr -2.613 -6.530 3.266
Sr -0.317 -3.096 -1.417
Zn -2.131 -5.363 0.083
Zn -3.187 -9.623 2.567
Zn 1.419 -5.671 -2.280
Zn 0.363 -9.931 0.205
Zn 0.000 0.000 0.000
Ni -0.836 -9.028 2.170
Ni -0.931 -6.266 -1.882
```

=====

no.,total magnetic moment (μB per atom)
1,0.714
2,0.020
3,0.000
4,0.000
5,1.000
6,0.176
7,0.000
8,0.000
9,0.000
10,0.000
11,2.351
12,0.000